Below is Li2CaMnO4 after structural relaxation, with properties calculated at the PBE with a Hubbard U level.

Calculated values
- Uncorrected energy: -6.05 eV per atom
- SG: I-42m (121)
- N(E_F): 6.631 states/eV per cell

a = 4.9940 Å, b = 4.9940 Å, c = 4.9940 Å
α = 95.47°, β = 116.89°, γ = 116.89°
Fractional coordinates of all 8 atoms:
Li: 0.5000 0.7500 0.2500
Li: 0.5000 0.2500 0.7500
Ca: 0.0000 0.0000 0.0000
Mn: 0.0000 0.5000 0.5000
O: 0.0000 0.1481 0.5717
O: 0.5764 0.4283 0.4283
O: 0.4236 0.8519 0.8519
O: 0.0000 0.5717 0.1481